[1]
Li2TeRu: optimized geometry, PBE.

- Total energy: -4.07 eV per atom
- Space-group type: P2/m, No. 10
- Calculated volume: 16.87 A^3/atom

Cell: 3.2305 4.6266 4.5211 Å, 90.00 92.67 90.00°
Element x y z (fractional)
1 Li 0.2345 0.0000 0.2289
2 Li 0.7655 0.0000 0.7711
3 Te 0.0000 0.5000 0.5000
4 Ru 0.5000 0.5000 0.0000

=====

[2]
LiTe2Ru: optimized geometry, PBE.

- Total energy: -3.87 eV per atom
- Space-group type: F-43m, No. 216
- Calculated volume: 20.60 A^3/atom

Cell: 6.9076 6.9076 6.9076 Å, 90.00 90.00 90.00°
Element x y z (fractional)
1 Li 0.0000 0.0000 0.0000
2 Li 0.0000 0.5000 0.5000
3 Li 0.5000 0.0000 0.5000
4 Li 0.5000 0.5000 0.0000
5 Te 0.0000 0.0000 0.5000
6 Te 0.0000 0.5000 0.0000
7 Te 0.2500 0.2500 0.7500
8 Te 0.2500 0.7500 0.2500
9 Te 0.5000 0.0000 0.0000
10 Te 0.5000 0.5000 0.5000
11 Te 0.7500 0.2500 0.2500
12 Te 0.7500 0.7500 0.7500
13 Ru 0.2500 0.2500 0.2500
14 Ru 0.2500 0.7500 0.7500
15 Ru 0.7500 0.2500 0.7500
16 Ru 0.7500 0.7500 0.2500

=====

[3]
LiTeRu: optimized geometry, PBE.

- Total energy: -4.48 eV per atom
- Space-group type: Amm2, No. 38
- Polymorph energy (0 for the lowest one): 2.04 eV per formula unit
- Calculated volume: 18.99 A^3/atom

Cell: 13.1921 3.1587 5.4689 Å, 90.00 90.00 90.00°
Element x y z (fractional)
1 Li 0.1501 0.0000 0.0000
2 Li 0.1501 0.5000 0.5000
3 Li 0.8499 0.0000 0.0000
4 Li 0.8499 0.5000 0.5000
5 Te 0.3457 0.0000 0.6545
6 Te 0.3457 0.5000 0.1545
7 Te 0.6543 0.0000 0.6545
8 Te 0.6543 0.5000 0.1545
9 Ru 0.0000 0.0000 0.3337
10 Ru 0.0000 0.5000 0.8337
11 Ru 0.5000 0.0000 0.9876
12 Ru 0.5000 0.5000 0.4876

=====

- Which value of total energy does entry 1 give?
  -4.07 eV per atom

=====

- Among the records above, which one has the lowest calculated volume?
  Li2TeRu

=====

Copy entry 3 word for word.
LiTeRu: optimized geometry, PBE.

- Total energy: -4.48 eV per atom
- Space-group type: Amm2, No. 38
- Polymorph energy (0 for the lowest one): 2.04 eV per formula unit
- Calculated volume: 18.99 A^3/atom

Cell: 13.1921 3.1587 5.4689 Å, 90.00 90.00 90.00°
Element x y z (fractional)
1 Li 0.1501 0.0000 0.0000
2 Li 0.1501 0.5000 0.5000
3 Li 0.8499 0.0000 0.0000
4 Li 0.8499 0.5000 0.5000
5 Te 0.3457 0.0000 0.6545
6 Te 0.3457 0.5000 0.1545
7 Te 0.6543 0.0000 0.6545
8 Te 0.6543 0.5000 0.1545
9 Ru 0.0000 0.0000 0.3337
10 Ru 0.0000 0.5000 0.8337
11 Ru 0.5000 0.0000 0.9876
12 Ru 0.5000 0.5000 0.4876